This record from Alexandria describes a relaxed PuCrSnO6 crystal. The functional is GGA+U.

Structure (extended XYZ):
```
18
Lattice="5.3084 0.0000 0.0000 -2.6542 4.5972 0.0000 0.0000 0.0000 9.1034" Properties=species:S:1:pos:R:3 pbc="T T T"
Pu 2.6542 1.5324 2.2758
Pu 0.0000 3.0648 6.8275
Cr 0.0000 3.0648 2.2758
Cr 2.6542 1.5324 6.8275
Sn 0.0000 0.0000 0.0000
Sn 0.0000 0.0000 4.5517
O 1.7027 3.0971 1.1731
O -0.8234 1.5741 1.1731
O 1.7750 0.0740 5.7247
O 3.4776 3.0231 7.9303
O 0.8234 1.5741 3.3786
O -1.7027 3.0971 3.3786
O 3.5335 0.0740 7.9303
O 0.8793 4.5233 3.3786
O 4.3569 1.5002 5.7247
O -0.8793 4.5233 1.1731
O 1.8308 3.0231 5.7247
O 0.9515 1.5002 7.9303
```

Computed properties:
Total DFT energy (no corrections), Ry per atom: -0.605
Space-group type: No. 163
Crystal system: trigonal